Here is PrSmSnPb after structural relaxation from the Alexandria database. Energies are from PBE.

Cell: 5.5410 5.5410 5.5410 Å, 60.00 60.00 60.00°
Last column: nearest neighbours and their distance in Å.
Fractional positions:
Pr 0.0000 0.0000 0.0000  4 Pb 3.39, 4 Sn 3.39
Sn 0.2500 0.2500 0.2500  4 Pr 3.39, 4 Sm 3.39
Sm 0.5000 0.5000 0.5000  4 Sn 3.39, 4 Pb 3.39
Pb 0.7500 0.7500 0.7500  4 Pr 3.39, 4 Sm 3.39

Results
As for the formation energy from the elements: -0.502 eV per atom. The calculation puts the excess energy over the best structure of this formula in the dataset at 160 meV/atom.